{
  "formula": "Ho2AlGaIr4",
  "functional": "PBE",
  "state": "relaxed",
  "vol_a3_per_cell": 145,
  "total_energy_ev_per_atom": -7.07,
  "density_g_cm3": 13.7,
  "cell": [[-3.903, -0.034, -1.825], [1.386, -3.445, 2.186], [-3.574, 3.371, 7.580]],
  "species": ["Al", "Ga", "Ho", "Ho", "Ir", "Ir", "Ir", "Ir"],
  "frac_coords": [[0.000, 0.000, 0.000], [0.000, 0.000, 0.500], [0.667, 0.333, 0.251], [0.333, 0.667, 0.749], [0.333, 0.667, 0.084], [0.333, 0.667, 0.414], [0.667, 0.333, 0.586], [0.667, 0.333, 0.916]]
}



{
  "formula": "SmBiCl2O2",
  "functional": "PBE",
  "state": "relaxed",
  "vol_a3_per_cell": 109,
  "total_energy_ev_per_atom": -5.88,
  "density_g_cm3": 7.0,
  "cell": [[3.954, 0.000, 0.000], [0.000, 3.954, 0.000], [0.000, 0.000, 7.002]],
  "species": ["Bi", "Cl", "Cl", "O", "O", "Sm"],
  "frac_coords": [[0.500, 0.500, 0.836], [0.500, 0.500, 0.351], [0.000, 0.000, 0.618], [0.500, 0.000, 0.005], [0.000, 0.500, 0.005], [0.000, 0.000, 0.186]]
}



{
  "formula": "TmSiPt",
  "functional": "PBE",
  "state": "relaxed",
  "vol_a3_per_cell": 63,
  "total_energy_ev_per_atom": -6.22,
  "density_g_cm3": 10.4,
  "cell": [[0.000, 3.156, 3.156], [3.156, 0.000, 3.156], [3.156, 3.156, 0.000]],
  "species": ["Pt", "Si", "Tm"],
  "frac_coords": [[0.000, 0.000, 0.000], [0.250, 0.250, 0.250], [0.750, 0.750, 0.750]]
}



{
  "formula": "Li2SmAu3",
  "functional": "PBE",
  "state": "relaxed",
  "vol_a3_per_cell": 230,
  "total_energy_ev_per_atom": -3.70,
  "density_g_cm3": 10.9,
  "cell": [[4.498, 0.000, 0.000], [-2.249, 3.896, 0.000], [0.000, 0.000, 13.115]],
  "species": ["Au", "Au", "Au", "Au", "Au", "Au", "Li", "Li", "Li", "Li", "Sm", "Sm"],
  "frac_coords": [[0.000, 0.000, 0.000], [0.333, 0.667, 0.130], [0.333, 0.667, 0.370], [0.000, 0.000, 0.500], [0.667, 0.333, 0.630], [0.667, 0.333, 0.870], [0.667, 0.333, 0.068], [0.667, 0.333, 0.432], [0.333, 0.667, 0.568], [0.333, 0.667, 0.932], [0.000, 0.000, 0.250], [0.000, 0.000, 0.750]]
}



{
  "formula": "GdY2Tl3AgPt2",
  "functional": "PBE",
  "state": "relaxed",
  "vol_a3_per_cell": 207,
  "total_energy_ev_per_atom": -5.07,
  "density_g_cm3": 11.6,
  "cell": [[3.784, 0.000, 0.000], [0.000, 6.881, 3.974], [0.000, -6.881, 3.974]],
  "species": ["Ag", "Gd", "Pt", "Pt", "Tl", "Tl", "Tl", "Y", "Y"],
  "frac_coords": [[0.000, 0.000, 0.000], [0.000, 0.410, 0.410], [0.500, 0.667, 0.333], [0.500, 0.333, 0.667], [0.500, 0.000, 0.270], [0.500, 0.730, 0.730], [0.500, 0.270, 0.000], [0.000, 0.590, 0.000], [0.000, 0.000, 0.590]]
}



{
  "formula": "MgZrZnNi",
  "functional": "PBE",
  "state": "relaxed",
  "vol_a3_per_cell": 64,
  "total_energy_ev_per_atom": -4.42,
  "density_g_cm3": 6.3,
  "cell": [[-3.771, -1.601, 1.814], [-3.339, -1.397, -2.640], [-0.947, -4.369, -0.292]],
  "species": ["Mg", "Ni", "Zn", "Zr"],
  "frac_coords": [[0.750, 0.750, 0.750], [0.250, 0.250, 0.250], [0.500, 0.500, 0.500], [0.000, 0.000, 0.000]]
}



{
  "formula": "KRb3Au2N2",
  "functional": "PBE",
  "state": "relaxed",
  "vol_a3_per_cell": 204,
  "total_energy_ev_per_atom": -3.21,
  "density_g_cm3": 5.8,
  "cell": [[5.596, 0.000, 0.000], [0.000, 6.970, 0.000], [-2.159, 0.000, 5.237]],
  "species": ["Au", "Au", "K", "N", "N", "Rb", "Rb", "Rb"],
  "frac_coords": [[0.502, 0.249, 0.502], [0.502, 0.751, 0.502], [0.091, 0.000, 0.721], [0.306, 0.000, 0.317], [0.689, 0.500, 0.691], [0.736, 0.000, 0.084], [0.912, 0.500, 0.269], [0.264, 0.500, 0.912]]
}



{
  "formula": "LuGaFeNi",
  "functional": "PBE",
  "state": "relaxed",
  "vol_a3_per_cell": 63,
  "total_energy_ev_per_atom": -5.38,
  "density_g_cm3": 9.5,
  "cell": [[0.000, 3.151, 3.151], [3.151, 0.000, 3.151], [3.151, 3.151, 0.000]],
  "species": ["Fe", "Ga", "Lu", "Ni"],
  "frac_coords": [[0.500, 0.500, 0.500], [0.000, 0.000, 0.000], [0.250, 0.250, 0.250], [0.750, 0.750, 0.750]]
}